VASP calculation (PBE-GGA) on a relaxed structure of FeH4NCl4.

Lattice parameters (Å, degrees): 9.0764 9.0764 9.0764 135.19 135.19 65.23
Closest atoms and distances in Å follow each position.
Fractional positions:
Fe: 0.3750 0.1250 0.2500  4 Cl 2.21
Fe: 0.6250 0.8750 0.7500  4 Cl 2.21
H: 0.0363 0.6620 0.3688  1 N 1.04
H: 0.1620 0.2931 0.6257  1 N 1.04
H: 0.1675 0.5363 0.8743  1 N 1.04
H: 0.2069 0.3325 0.8688  1 N 1.04
H: 0.7931 0.6675 0.1312  1 N 1.04
H: 0.8325 0.4637 0.1257  1 N 1.04
H: 0.8380 0.7069 0.3743  1 N 1.04
H: 0.9637 0.3380 0.6312  1 N 1.04
N: 0.1250 0.3750 0.7500  4 H 1.04
N: 0.8750 0.6250 0.2500  4 H 1.04
Cl: 0.1661 0.2756 0.3535  1 Fe 2.21, 1 H 2.39
Cl: 0.2244 0.0779 0.8905  1 Fe 2.21, 1 H 2.39
Cl: 0.3126 0.6661 0.3905  1 Fe 2.21, 1 H 2.39
Cl: 0.4221 0.8126 0.1465  1 Fe 2.21, 1 H 2.39
Cl: 0.5779 0.1874 0.8535  1 Fe 2.21, 1 H 2.39
Cl: 0.6874 0.3339 0.6095  1 Fe 2.21, 1 H 2.39
Cl: 0.7756 0.9221 0.1095  1 Fe 2.21, 1 H 2.39
Cl: 0.8339 0.7244 0.6465  1 Fe 2.21, 1 H 2.39

Values from the calculation:
E_tot: -4.453 eV/atom